1.
Here is an optimized crystal structure of Y2Ni2Pt from Alexandria. Energies are from PBE-GGA. Values from VASP.

Cell and atoms, written as Quantum ESPRESSO input:
```
&SYSTEM
  ibrav = 0, nat = 10, ntyp = 3
/
ATOMIC_SPECIES
Y 88.91 Y.upf
Ni 58.69 Ni.upf
Pt 195.08 Pt.upf
CELL_PARAMETERS angstrom
7.0228 0.0000 0.0000
0.0000 7.0228 0.0000
0.0000 0.0000 3.7532
ATOMIC_POSITIONS crystal
Y 0.1832 0.3168 0.0000
Y 0.3168 0.8168 0.0000
Y 0.6832 0.1832 0.0000
Y 0.8168 0.6832 0.0000
Ni 0.1187 0.6187 0.5000
Ni 0.3813 0.1187 0.5000
Ni 0.6187 0.8813 0.5000
Ni 0.8813 0.3813 0.5000
Pt 0.0000 0.0000 0.5000
Pt 0.5000 0.5000 0.5000
```

Calculated values
Size of the total moment = 0.0000 μB/atom
ΔE to the lowest computed polymorph = 22.4 meV per atom
DFT total energy = -6.772 eV/atom
SG = P4/mbm (127)
DFT formation energy = -0.666 eV/atom



2.
Here is an optimized crystal structure of YNi3Pt from Alexandria. Energies are from PBE-GGA. Values from VASP.

Cell and atoms, written as Quantum ESPRESSO input:
```
&SYSTEM
  ibrav = 0, nat = 5, ntyp = 3
/
ATOMIC_SPECIES
Y 88.91 Y.upf
Ni 58.69 Ni.upf
Pt 195.08 Pt.upf
CELL_PARAMETERS angstrom
4.5302 0.0000 0.0000
0.0000 4.5302 0.0000
0.0000 0.0000 4.5302
ATOMIC_POSITIONS crystal
Y 0.0000 0.0000 0.0000
Ni 0.0000 0.0000 0.5000
Ni 0.0000 0.5000 0.0000
Ni 0.5000 0.0000 0.0000
Pt 0.5000 0.5000 0.5000
```

Calculated values
Size of the total moment = 0.0000 μB/atom
ΔE to the lowest computed polymorph = 1787.7 meV per atom
DFT total energy = -4.597 eV/atom
SG = Pm-3m (221)
DFT formation energy = 1.373 eV/atom



3.
Here is an optimized crystal structure of Y8Ni2Pt from Alexandria. Energies are from PBE-GGA. Values from VASP.

Cell and atoms, written as Quantum ESPRESSO input:
```
&SYSTEM
  ibrav = 0, nat = 11, ntyp = 3
/
ATOMIC_SPECIES
Y 88.91 Y.upf
Ni 58.69 Ni.upf
Pt 195.08 Pt.upf
CELL_PARAMETERS angstrom
4.1523 -6.2637 0.0000
4.1523 6.2637 0.0000
-1.8610 0.0000 5.7012
ATOMIC_POSITIONS crystal
Y 0.0000 0.0000 0.0000
Y 0.0223 0.2857 0.5895
Y 0.1480 0.5825 0.1837
Y 0.2857 0.0223 0.5895
Y 0.4419 0.7046 0.7898
Y 0.5825 0.1480 0.1837
Y 0.7046 0.4419 0.7898
Y 0.7267 0.7267 0.3646
Ni 0.0522 0.6718 0.6809
Ni 0.6718 0.0522 0.6809
Pt 0.3632 0.3632 0.0130
```

Calculated values
Size of the total moment = 0.0001 μB/atom
DFT total energy = -6.581 eV/atom
SG = Cm (8)
DFT formation energy = -0.279 eV/atom



4.
Here is an optimized crystal structure of YNi4Pt from Alexandria. Energies are from PBE-GGA. Values from VASP.

Cell and atoms, written as Quantum ESPRESSO input:
```
&SYSTEM
  ibrav = 0, nat = 6, ntyp = 3
/
ATOMIC_SPECIES
Y 88.91 Y.upf
Ni 58.69 Ni.upf
Pt 195.08 Pt.upf
CELL_PARAMETERS angstrom
0.0000 3.4634 3.4634
3.4634 0.0000 3.4634
3.4634 3.4634 0.0000
ATOMIC_POSITIONS crystal
Y 0.0000 0.0000 0.0000
Ni 0.1292 0.6236 0.6236
Ni 0.6236 0.1292 0.6236
Ni 0.6236 0.6236 0.1292
Ni 0.6236 0.6236 0.6236
Pt 0.2500 0.2500 0.2500
```

Calculated values
Size of the total moment = 0.0000 μB/atom
DFT total energy = -6.328 eV/atom
SG = F-43m (216)
DFT formation energy = -0.390 eV/atom